Below is a geometry-optimized LiHoH structure, with properties calculated at the GGA-PBE level.

For the total energy, the calculation gives -3.50 eV/atom. For the distance to the lowest polymorph of the same formula, the calculation gives 0 meV per atom. As for the crystal system: monoclinic.

Unit cell a=3.4810 b=6.8935 c=8.7890 alpha=113.01 beta=90.00 gamma=90.00
With the nearest neighbours (Å) after each atom.
Atoms (fractional coordinates):
H1 0.2500 0.5525 0.3561  1 Li 2.20, 5 Ho 2.33-2.45
H2 0.7500 0.9475 0.6439  1 Li 2.20, 5 Ho 2.33-2.45
H3 0.7500 0.4475 0.6439  1 Li 2.20, 5 Ho 2.33-2.45
H4 0.2500 0.0525 0.3561  1 Li 2.20, 5 Ho 2.33-2.45
Ho1 0.2500 0.6970 0.6436  5 H 2.33-2.45
Ho2 0.7500 0.8030 0.3564  5 H 2.33-2.45
Ho3 0.7500 0.3030 0.3564  5 H 2.33-2.45
Ho4 0.2500 0.1970 0.6436  5 H 2.33-2.45
Li1 0.2500 0.9167 0.0839  1 H 2.20
Li2 0.7500 0.5833 0.9161  1 H 2.20
Li3 0.7500 0.0833 0.9161  1 H 2.20
Li4 0.2500 0.4167 0.0839  1 H 2.20